Compound: ZrTlI2
Source: the Alexandria database
Functional: PBE
Structure: optimized geometry

```
8
Lattice="10.274 0.000 0.000 0.000 10.274 0.000 5.137 5.137 3.094" Properties=species:S:1:pos:R:3 pbc="T T T"
I 6.278 2.568 0.773
I 3.996 7.705 0.773
I 7.705 9.133 2.320
I 12.842 11.415 2.320
Tl 0.000 0.000 0.000
Tl 10.274 5.137 1.547
Zr 5.137 5.137 0.000
Zr 5.137 10.274 1.547
```

Values from the calculation:
M_tot: 0.331 μB/atom
DOS(E_F): 6.472 states/eV per cell
formation energy (no corrections): -20.55 kJ/mol of atoms
energy above the most stable polymorph in this dataset: 0.000 eV/atom
crystal system: tetragonal



Compound: ZrTlI2
Source: the Alexandria database
Functional: PBE
Structure: optimized geometry

```
4
Lattice="0.000 3.862 3.862 3.862 0.000 3.862 3.862 3.862 0.000" Properties=species:S:1:pos:R:3 pbc="T T T"
I 1.931 1.931 1.931
I 5.793 5.793 5.793
Tl 3.862 3.862 3.862
Zr 0.000 0.000 0.000
```

Values from the calculation:
M_tot: 0.261 μB/atom
DOS(E_F): 3.562 states/eV per cell
formation energy (no corrections): 2.84 kJ/mol of atoms
energy above the most stable polymorph in this dataset: 0.242 eV/atom
crystal system: cubic